Computed, not measured: an optimized crystal structure of Rb2FeI4 at the PBE-GGA level of DFT.

Results
The calculation puts the volume at 300 Å³ per cell. For the electronic total energy, the calculation gives -3.198 eV/atom. As for the space group: I4/mmm.

a b c (Å): 9.9725 9.9725 9.9725
angles (deg): 146.55 146.55 48.03
Element x y z (fractional)
1 Rb 0.1381 0.1381 0.0000
2 Rb 0.8619 0.8619 0.0000
3 Fe 0.5000 0.5000 0.0000
4 I 0.0000 0.5000 0.5000
5 I 0.3435 0.3435 0.0000
6 I 0.5000 0.0000 0.5000
7 I 0.6565 0.6565 0.0000

***

Computed, not measured: an optimized crystal structure of RbFe2I at the PBE-GGA level of DFT.

Results
The calculation puts the volume at 99 Å³ per cell. For the electronic total energy, the calculation gives -3.502 eV/atom. The value obtained for the offset from the most stable computed form is 58.5 kJ/mol of atoms. As for the space group: Fm-3m.

a b c (Å): 5.1913 5.1913 5.1913
angles (deg): 60.00 60.00 60.00
Element x y z (fractional)
1 Rb 0.0000 0.0000 0.0000
2 Fe 0.2500 0.2500 0.2500
3 Fe 0.7500 0.7500 0.7500
4 I 0.5000 0.5000 0.5000

***

Computed, not measured: an optimized crystal structure of RbFeI4 at the PBE-GGA level of DFT.

Results
The calculation puts the volume at 1146 Å³ per cell. For the electronic total energy, the calculation gives -3.243 eV/atom. The value obtained for the offset from the most stable computed form is 0.0 kJ/mol of atoms. As for the space group: P2_1/c.

a b c (Å): 7.7631 18.5360 8.4057
angles (deg): 90.00 108.68 90.00
Element x y z (fractional)
1 Rb 0.1811 0.1209 0.3025
2 Rb 0.1811 0.3791 0.8025
3 Rb 0.8189 0.6209 0.1975
4 Rb 0.8189 0.8791 0.6975
5 Fe 0.2042 0.6295 0.8073
6 Fe 0.2042 0.8705 0.3073
7 Fe 0.7958 0.1295 0.6927
8 Fe 0.7958 0.3705 0.1927
9 I 0.1308 0.1696 0.7817
10 I 0.1308 0.3304 0.2817
11 I 0.2586 0.5549 0.5720
12 I 0.2586 0.9451 0.0720
13 I 0.2736 0.5520 0.0744
14 I 0.2736 0.9480 0.5744
15 I 0.4120 0.7385 0.8728
16 I 0.4120 0.7615 0.3728
17 I 0.5880 0.2385 0.6272
18 I 0.5880 0.2615 0.1272
19 I 0.7264 0.0520 0.4256
20 I 0.7264 0.4480 0.9256
21 I 0.7414 0.0549 0.9280
22 I 0.7414 0.4451 0.4280
23 I 0.8692 0.6696 0.7183
24 I 0.8692 0.8304 0.2183

***

Computed, not measured: an optimized crystal structure of RbFeI3 at the PBE-GGA level of DFT.

Results
The calculation puts the volume at 918 Å³ per cell. For the electronic total energy, the calculation gives -3.524 eV/atom. As for the space group: P2_1/c.

a b c (Å): 8.3933 10.0790 13.5708
angles (deg): 90.00 126.93 90.00
Element x y z (fractional)
1 Rb 0.1712 0.0843 0.2439
2 Rb 0.1712 0.4157 0.7439
3 Rb 0.8288 0.5843 0.2561
4 Rb 0.8288 0.9157 0.7561
5 Fe 0.4731 0.1185 0.0098
6 Fe 0.4731 0.3815 0.5098
7 Fe 0.5269 0.6185 0.4902
8 Fe 0.5269 0.8815 0.9902
9 I 0.1377 0.1994 0.9649
10 I 0.1377 0.3006 0.4649
11 I 0.2981 0.6915 0.9728
12 I 0.2981 0.8085 0.4728
13 I 0.3326 0.0161 0.7847
14 I 0.3326 0.4839 0.2847
15 I 0.6674 0.5161 0.7153
16 I 0.6674 0.9839 0.2153
17 I 0.7019 0.1915 0.5272
18 I 0.7019 0.3085 0.0272
19 I 0.8623 0.6994 0.5351
20 I 0.8623 0.8006 0.0351

***

Computed, not measured: an optimized crystal structure of Rb2FeI4 at the PBE-GGA level of DFT.

Results
The calculation puts the volume at 662 Å³ per cell. For the electronic total energy, the calculation gives -3.284 eV/atom. As for the space group: P2_1.

a b c (Å): 8.0391 8.4559 10.2681
angles (deg): 90.00 108.60 90.00
Element x y z (fractional)
1 Rb 0.2119 0.0000 0.0471
2 Rb 0.2724 0.9960 0.5720
3 Rb 0.7276 0.4960 0.4280
4 Rb 0.7881 0.5000 0.9529
5 Fe 0.2142 0.5382 0.7953
6 Fe 0.7858 0.0382 0.2047
7 I 0.0224 0.2666 0.2714
8 I 0.0299 0.2743 0.7434
9 I 0.3848 0.5627 0.0596
10 I 0.4134 0.5594 0.6361
11 I 0.5866 0.0594 0.3639
12 I 0.6152 0.0627 0.9404
13 I 0.9701 0.7743 0.2566
14 I 0.9776 0.7666 0.7286

***

Computed, not measured: an optimized crystal structure of RbFeI5 at the PBE-GGA level of DFT.

Results
The calculation puts the volume at 1572 Å³ per cell. For the electronic total energy, the calculation gives -2.953 eV/atom. As for the space group: Pnma.

a b c (Å): 14.6683 11.3893 9.4109
angles (deg): 90.00 90.00 90.00
Element x y z (fractional)
1 Rb 0.2463 0.2500 0.1914
2 Rb 0.2537 0.7500 0.6914
3 Rb 0.7463 0.2500 0.3086
4 Rb 0.7537 0.7500 0.8086
5 Fe 0.2389 0.2500 0.7024
6 Fe 0.2611 0.7500 0.2024
7 Fe 0.7389 0.2500 0.7976
8 Fe 0.7611 0.7500 0.2977
9 I 0.0056 0.7500 0.7633
10 I 0.0999 0.2500 0.5362
11 I 0.1116 0.7500 0.0621
12 I 0.2327 0.0654 0.8530
13 I 0.2327 0.4346 0.8530
14 I 0.2673 0.5654 0.3530
15 I 0.2673 0.9346 0.3530
16 I 0.3884 0.2500 0.5621
17 I 0.4001 0.7500 0.0362
18 I 0.4944 0.2500 0.2633
19 I 0.5056 0.7500 0.7367
20 I 0.5999 0.2500 0.9638
21 I 0.6116 0.7500 0.4379
22 I 0.7327 0.0654 0.6470
23 I 0.7327 0.4346 0.6470
24 I 0.7673 0.5654 0.1470
25 I 0.7673 0.9346 0.1470
26 I 0.8884 0.2500 0.9379
27 I 0.9001 0.7500 0.4638
28 I 0.9944 0.2500 0.2367

***

Computed, not measured: an optimized crystal structure of RbFe2I6 at the PBE-GGA level of DFT.

Results
The calculation puts the volume at 892 Å³ per cell. For the electronic total energy, the calculation gives -3.468 eV/atom. As for the space group: C2/c.

a b c (Å): 11.1286 11.1286 7.3049
angles (deg): 96.28 96.28 92.66
Element x y z (fractional)
1 Rb 0.1270 0.8730 0.7500
2 Rb 0.8730 0.1270 0.2500
3 Fe 0.2262 0.3702 0.7602
4 Fe 0.3702 0.2262 0.2602
5 Fe 0.6298 0.7738 0.7398
6 Fe 0.7738 0.6298 0.2398
7 I 0.0485 0.2099 0.7227
8 I 0.1798 0.5705 0.9278
9 I 0.2099 0.0485 0.2227
10 I 0.2846 0.4192 0.4308
11 I 0.4192 0.2846 0.9308
12 I 0.4295 0.8202 0.5722
13 I 0.5705 0.1798 0.4278
14 I 0.5808 0.7154 0.0692
15 I 0.7154 0.5808 0.5692
16 I 0.7901 0.9515 0.7773
17 I 0.8202 0.4295 0.0722
18 I 0.9515 0.7901 0.2773

***

Computed, not measured: an optimized crystal structure of Rb2FeI4 at the PBE-GGA level of DFT.

Results
The calculation puts the volume at 732 Å³ per cell. For the electronic total energy, the calculation gives -3.264 eV/atom. As for the space group: P2_1/m.

a b c (Å): 7.7708 8.2815 11.3773
angles (deg): 90.00 91.60 90.00
Element x y z (fractional)
1 Rb 0.1889 0.2500 0.4965
2 Rb 0.1921 0.2500 0.0108
3 Rb 0.8079 0.7500 0.9892
4 Rb 0.8111 0.7500 0.5035
5 Fe 0.1796 0.7500 0.2532
6 Fe 0.8204 0.2500 0.7468
7 I 0.0283 0.5032 0.7516
8 I 0.0283 0.9968 0.7516
9 I 0.3381 0.7500 0.4589
10 I 0.3436 0.7500 0.0558
11 I 0.6564 0.2500 0.9442
12 I 0.6619 0.2500 0.5411
13 I 0.9717 0.0032 0.2484
14 I 0.9717 0.4968 0.2484

***

Computed, not measured: an optimized crystal structure of Rb4FeI7 at the PBE-GGA level of DFT.

Results
The calculation puts the volume at 615 Å³ per cell. For the electronic total energy, the calculation gives -2.865 eV/atom. As for the space group: C2/m.

a b c (Å): 9.9209 9.9209 11.9846
angles (deg): 118.01 118.01 36.89
Element x y z (fractional)
1 Rb 0.0508 0.0508 0.2374
2 Rb 0.2214 0.2214 0.8021
3 Rb 0.7786 0.7786 0.1979
4 Rb 0.9492 0.9492 0.7626
5 Fe 0.5000 0.5000 0.5000
6 I 0.0000 0.0000 0.5000
7 I 0.1550 0.1550 0.0519
8 I 0.2588 0.2588 0.5122
9 I 0.4359 0.4359 0.2559
10 I 0.5641 0.5641 0.7441
11 I 0.7412 0.7412 0.4878
12 I 0.8450 0.8450 0.9481

***

Computed, not measured: an optimized crystal structure of Rb3FeI6 at the PBE-GGA level of DFT.

Results
The calculation puts the volume at 1085 Å³ per cell. For the electronic total energy, the calculation gives -3.000 eV/atom. The value obtained for the offset from the most stable computed form is 0.0 kJ/mol of atoms. As for the space group: Cmc2_1.

a b c (Å): 12.0333 12.0333 7.7001
angles (deg): 90.00 90.00 103.28
Element x y z (fractional)
1 Rb 0.1040 0.8960 0.5000
2 Rb 0.2076 0.4224 0.4710
3 Rb 0.4224 0.2076 0.9710
4 Rb 0.5776 0.7924 0.4710
5 Rb 0.7924 0.5776 0.9710
6 Rb 0.8960 0.1040 0.0000
7 Fe 0.3023 0.6977 0.9043
8 Fe 0.6977 0.3023 0.4043
9 I 0.1001 0.6174 0.7780
10 I 0.1594 0.1702 0.7346
11 I 0.1702 0.1594 0.2346
12 I 0.2908 0.7092 0.2407
13 I 0.3826 0.8999 0.7780
14 I 0.4350 0.5650 0.8111
15 I 0.5650 0.4350 0.3111
16 I 0.6174 0.1001 0.2780
17 I 0.7092 0.2908 0.7407
18 I 0.8298 0.8406 0.7346
19 I 0.8406 0.8298 0.2346
20 I 0.8999 0.3826 0.2780

***

Computed, not measured: an optimized crystal structure of RbFe3I at the PBE-GGA level of DFT.

Results
The calculation puts the volume at 123 Å³ per cell. For the electronic total energy, the calculation gives -3.117 eV/atom. The value obtained for the offset from the most stable computed form is 100.2 kJ/mol of atoms. As for the space group: Pm-3m.

a b c (Å): 4.9792 4.9792 4.9792
angles (deg): 90.00 90.00 90.00
Element x y z (fractional)
1 Rb 0.0000 0.0000 0.0000
2 Fe 0.0000 0.0000 0.5000
3 Fe 0.0000 0.5000 0.0000
4 Fe 0.5000 0.0000 0.0000
5 I 0.5000 0.5000 0.5000

***

Computed, not measured: an optimized crystal structure of RbFeI3 at the PBE-GGA level of DFT.

Results
The calculation puts the volume at 186 Å³ per cell. For the electronic total energy, the calculation gives -3.354 eV/atom. As for the space group: Pm-3m.

a b c (Å): 5.7119 5.7119 5.7119
angles (deg): 90.00 90.00 90.00
Element x y z (fractional)
1 Rb 0.0000 0.0000 0.0000
2 Fe 0.5000 0.5000 0.5000
3 I 0.0000 0.5000 0.5000
4 I 0.5000 0.0000 0.5000
5 I 0.5000 0.5000 0.0000